1.
## Y2ReNiH (meta-GGA SCAN)

Data for a crystal of Y2ReNiH relaxed with PBEsol.

a = 5.233 Å, b = 5.233 Å, c = 3.401 Å
α = 90.00°, β = 90.00°, γ = 90.00°
Positions (direct):
1 Y 0.000 0.500 0.000
2 Y 0.500 0.000 0.000
3 Re 0.000 0.000 0.000
4 Ni 0.500 0.500 0.500
5 H 0.000 0.000 0.500

- Fermi-level density of states: 0.47 states/eV per atom
- Calculated total energy: -28.738 eV per atom
- Volume: 93 Å³/f.u.

=====

2.
## NiH2Rh (meta-GGA SCAN)

Data for a crystal of NiH2Rh relaxed with PBEsol.

a = 3.954 Å, b = 3.954 Å, c = 7.853 Å
α = 90.00°, β = 90.00°, γ = 90.00°
Positions (direct):
1 Ni 0.000 0.000 0.000
2 Ni 0.000 0.500 0.250
3 Ni 0.500 0.000 0.750
4 Ni 0.500 0.500 0.500
5 H 0.224 0.250 0.125
6 H 0.250 0.724 0.375
7 H 0.250 0.776 0.875
8 H 0.276 0.250 0.625
9 H 0.724 0.750 0.625
10 H 0.750 0.224 0.875
11 H 0.750 0.276 0.375
12 H 0.776 0.750 0.125
13 Rh 0.000 0.000 0.500
14 Rh 0.000 0.500 0.750
15 Rh 0.500 0.000 0.250
16 Rh 0.500 0.500 0.000

- Fermi-level density of states: 0.78 states/eV per atom
- Calculated total energy: -14.164 eV per atom
- Volume: 31 Å³/f.u.

=====

3.
## NiH2Rh2 (meta-GGA SCAN)

Data for a crystal of NiH2Rh2 relaxed with PBEsol.

a = 2.867 Å, b = 2.867 Å, c = 10.712 Å
α = 90.00°, β = 90.00°, γ = 90.00°
Positions (direct):
1 Ni 0.000 0.000 0.000
2 Ni 0.500 0.500 0.500
3 H 0.000 0.500 0.250
4 H 0.000 0.500 0.750
5 H 0.500 0.000 0.250
6 H 0.500 0.000 0.750
7 Rh 0.000 0.000 0.357
8 Rh 0.000 0.000 0.643
9 Rh 0.500 0.500 0.143
10 Rh 0.500 0.500 0.857

- Fermi-level density of states: 0.43 states/eV per atom
- Calculated total energy: -18.089 eV per atom
- Volume: 44 Å³/f.u.

=====

What is the Fermi-level density of states in the first record? 0.47 states/eV per atom

=====

The highest Fermi-level density of states belongs to which entry? NiH2Rh